(1)
The following is a PBE-GGA calculation of crystalline CuMo2Os at its relaxed geometry, from Alexandria.

a = 2.767 Å, b = 3.938 Å, c = 5.363 Å
α = 90.00°, β = 90.00°, γ = 90.00°
Space group Pmmm (No. 47)
Unique sites:
Cu (0.000, 0.000, 0.000) [1 per cell]
Mo (0.500, 0.500, 0.254) [2 per cell]
Os (0.000, 0.000, 0.500) [1 per cell]

Computed properties:
energy relative to the elements	0.128	eV per atom

***

(2)
The following is a PBE-GGA calculation of crystalline NaInI3 at its relaxed geometry, from Alexandria.

a = 6.014 Å, b = 6.014 Å, c = 6.014 Å
α = 90.00°, β = 90.00°, γ = 90.00°
Space group Pm-3m (No. 221)
Unique sites:
Na (0.000, 0.000, 0.000) [1 per cell]
In (0.500, 0.500, 0.500) [1 per cell]
I (0.000, 0.000, 0.500) [3 per cell]

Computed properties:
energy relative to the elements, uncorrected	-0.3961	eV/atom

***

These records have total moment values of 0.0 0.9 μB per formula unit, in the order they appear.